No. 1
Computed, not measured: a relaxed structure of Ac2FeGe6Os at the PBE-GGA level of DFT.

Summary:
Energy of formation: -0.200 eV per atom
Symmetry: R-3m
Crystal system: trigonal

Geometry as POSCAR:
```
Ac2FeGe6Os
1.0
3.688 2.129 9.766
-3.688 2.129 9.766
0.000 -4.258 9.766
Ac Fe Ge Os
4 2 12 2
direct
0.135 0.135 0.135
0.285 0.285 0.285
0.715 0.715 0.715
0.865 0.865 0.865
0.000 0.000 0.000
0.500 0.500 0.500
0.148 0.608 0.608
0.196 0.196 0.742
0.196 0.742 0.196
0.258 0.804 0.804
0.392 0.392 0.852
0.392 0.852 0.392
0.608 0.148 0.608
0.608 0.608 0.148
0.742 0.196 0.196
0.804 0.258 0.804
0.804 0.804 0.258
0.852 0.392 0.392
0.393 0.393 0.393
0.607 0.607 0.607
```

No. 2
Computed, not measured: a relaxed structure of Ac2FeGePd6 at the PBE-GGA level of DFT.

Summary:
Energy of formation: -0.470 eV per atom
Symmetry: C2/m
Crystal system: monoclinic

Geometry as POSCAR:
```
Ac2FeGePd6
1.0
5.127 -2.964 0.000
5.127 2.964 0.000
-3.408 0.000 7.252
Ac Fe Ge Pd
2 1 1 6
direct
0.219 0.219 0.156
0.781 0.781 0.844
0.500 0.500 0.000
0.000 0.000 0.500
0.249 0.249 0.735
0.249 0.735 0.734
0.265 0.751 0.266
0.735 0.249 0.734
0.751 0.265 0.266
0.751 0.751 0.265
```

no.,volume (Å³ per atom)
1,23.00
2,22.04